Entry 1:
The following is a PBE calculation of a geometry-optimized AcP3Ir6 structure, from Alexandria via LeMat-Bulk.

Output
* crystal system: triclinic
* space group: P1, No. 1
* formation energy from the elements: -439 meV per atom
* ρ: 14239 kg/m³

extended XYZ file:
```
10
Lattice="-3.8057 1.4109 -4.2207 6.2063 -0.6528 -1.7114 -1.0350 -5.7147 3.2618" Properties=species:S:1:pos:R:3 pbc="T T T"
Ac 1.8321 -3.6102 -2.7396
P -1.7381 -4.5284 0.1135
P 2.7210 -0.5891 -2.6737
P -0.3718 -1.6290 -0.1847
Ir 0.5548 -4.3116 0.2639
Ir 3.8643 -1.5288 -0.8868
Ir -2.3870 -0.5229 -2.9616
Ir 3.2155 -3.9973 -0.1418
Ir -1.1776 -3.1127 -1.7785
Ir 0.3154 -0.9530 -2.3617
```

=====

Entry 2:
The following is a PBE calculation of a geometry-optimized AcP2Ir structure, from Alexandria via LeMat-Bulk.

Output
* crystal system: trigonal
* space group: R-3m, No. 166
* formation energy from the elements: -236 meV per atom
* ρ: 7885 kg/m³

extended XYZ file:
```
4
Lattice="4.0023 0.0000 0.0000 2.0011 3.4661 0.0000 2.0011 1.1554 7.3043" Properties=species:S:1:pos:R:3 pbc="T T T"
P 2.0011 1.1554 4.3491
P 6.0034 3.4661 2.9552
Ac 0.0000 0.0000 0.0000
Ir 4.0023 2.3107 3.6522
```

=====

Entry 3:
The following is a PBE calculation of a geometry-optimized Ac2P7Ir12 structure, from Alexandria via LeMat-Bulk.

Output
* crystal system: hexagonal
* space group: P-6, No. 174
* formation energy from the elements: -542 meV per atom
* ρ: 14827 kg/m³

extended XYZ file:
```
21
Lattice="-1.7627 0.8407 -3.4882 8.1935 -2.5596 -4.7572 -6.8973 -6.7283 1.8638" Properties=species:S:1:pos:R:3 pbc="T T T"
Ac -0.8813 0.4203 -1.7441
Ac 3.1633 -3.9491 -2.5502
P -1.8670 -5.3387 -0.3432
P -5.0147 -5.4008 1.2324
P -0.5332 -8.2879 -1.7279
P -0.0532 -2.3275 -0.5341
P 0.3750 -4.8973 -3.6605
P 4.1541 -4.5276 -5.4810
P 2.3167 -1.1616 -3.7413
Ir 2.2263 -5.8745 -4.8315
Ir 4.1801 -2.1928 -4.9315
Ir 0.4393 -2.5191 -3.1199
Ir -4.7891 -5.6534 -1.2332
Ir -1.3281 -6.4191 -3.1667
Ir -2.1279 -2.6826 -1.8620
Ir -3.2940 -3.9437 0.7141
Ir -2.4002 -7.5182 -0.5990
Ir 0.0931 -4.5541 -1.1446
Ir 1.3599 -6.8863 -2.3468
Ir 6.2474 -3.9209 -4.1018
Ir 1.8824 -1.0402 -1.2019
```

=====

Entry 4:
The following is a PBE calculation of a geometry-optimized Ac2P2Ir5 structure, from Alexandria via LeMat-Bulk.

Output
* crystal system: tetragonal
* space group: P4/mmm, No. 123
* formation energy from the elements: -632 meV per atom
* ρ: 14452 kg/m³

extended XYZ file:
```
9
Lattice="-0.5791 4.0904 -0.8807 -2.9368 0.2359 3.0269 6.7112 2.3132 6.3311" Properties=species:S:1:pos:R:3 pbc="T T T"
Ac 0.0000 0.0000 0.0000
Ac 3.3556 1.1566 3.1656
P -0.7013 2.5274 2.0699
P 3.8967 4.1122 6.4075
Ir 1.4623 2.6490 1.2122
Ir 4.6699 3.7546 4.2382
Ir 0.2834 0.7218 3.1660
Ir 3.4910 1.8274 6.1920
Ir 1.5977 3.3198 4.2387
```

=====

Entry 5:
The following is a PBE calculation of a geometry-optimized AcPaP2Ir4 structure, from Alexandria via LeMat-Bulk.

Output
* crystal system: tetragonal
* space group: P4/mmm, No. 123
* formation energy from the elements: -852 meV per atom
* ρ: 13345 kg/m³

extended XYZ file:
```
8
Lattice="-1.4241 -2.5526 2.8141 3.1613 0.8708 2.3897 -5.0595 7.2778 4.0410" Properties=species:S:1:pos:R:3 pbc="T T T"
Ac -2.5298 3.6389 2.0205
Pa 0.0000 0.0000 0.0000
P -0.7825 1.5340 3.9205
P -2.5400 4.0621 5.3243
Ir 0.5252 1.9536 2.0378
Ir -4.7162 4.4834 4.6051
Ir -1.7675 0.2419 2.2500
Ir -2.4235 6.1951 4.3929
```

=====

Entry 6:
The following is a PBE calculation of a geometry-optimized Ac2P3Ir4Pd structure, from Alexandria via LeMat-Bulk.

Output
* crystal system: tetragonal
* space group: P-4m2, No. 115
* formation energy from the elements: -743 meV per atom
* ρ: 12779 kg/m³

extended XYZ file:
```
10
Lattice="-2.9610 -2.9745 0.6034 -0.1925 -0.6573 -4.1845 7.3424 -7.1497 0.7854" Properties=species:S:1:pos:R:3 pbc="T T T"
Ac 0.4158 -3.3338 0.5046
Ac 5.3498 -5.6318 -1.5097
P 3.6712 -3.5748 0.3927
P 4.9079 -7.7079 0.9851
P 0.8578 -1.2576 -1.9902
Ir -1.5767 -1.8159 -1.7905
Ir 0.0000 0.0000 0.0000
Ir 3.2660 -6.1091 0.8095
Ir 2.4997 -2.8565 -1.8146
Pd 2.0945 -5.3908 -1.3978
```

=====

Entry 7:
The following is a PBE calculation of a geometry-optimized AcPmPIr structure, from Alexandria via LeMat-Bulk.

Output
* crystal system: cubic
* space group: F-43m, No. 216
* formation energy from the elements: -692 meV per atom
* ρ: 10129 kg/m³

extended XYZ file:
```
4
Lattice="-5.1527 -0.1301 0.3688 -2.3543 -4.2251 1.8190 -2.2612 0.0999 4.6455" Properties=species:S:1:pos:R:3 pbc="T T T"
P -4.8841 -2.1277 3.4167
Ac -7.3261 -3.1915 5.1250
Ir 0.0000 0.0000 0.0000
Pm -2.4420 -1.0638 1.7083
```

=====

Entry 8:
The following is a PBE calculation of a geometry-optimized AcP2Ir2Pt structure, from Alexandria via LeMat-Bulk.

Output
* crystal system: orthorhombic
* space group: Pnnm, No. 58
* formation energy from the elements: -741 meV per atom
* ρ: 11753 kg/m³

extended XYZ file:
```
12
Lattice="-2.0432 1.6033 3.1035 -3.2242 -5.0011 0.4609 6.8404 -3.8134 6.4735" Properties=species:S:1:pos:R:3 pbc="T T T"
Ac -2.6337 -1.6989 1.7822
Ac 3.4202 -1.9067 3.2367
P -1.1813 -3.7706 3.8086
P 2.7543 -3.4406 6.2292
P 2.8454 -7.1228 5.5530
P 0.7708 -1.6917 1.3814
Ir 0.2656 0.0526 2.7861
Ir 0.4910 -3.7045 2.2370
Ir 1.3074 -7.2638 7.2517
Ir 3.1252 -5.1100 4.6974
Pt 0.0000 0.0000 0.0000
Pt 0.7865 -3.6056 5.0189
```

=====

Entry 9:
The following is a PBE calculation of a geometry-optimized Ac6PIrPt2 structure, from Alexandria via LeMat-Bulk.

Output
* crystal system: trigonal
* space group: R3, No. 146
* formation energy from the elements: -885 meV per atom
* ρ: 9193 kg/m³

extended XYZ file:
```
10
Lattice="7.5870 0.0005 0.0013 3.7939 6.5709 0.0007 3.7943 2.1908 7.1583" Properties=species:S:1:pos:R:3 pbc="T T T"
Ac 6.3813 2.0377 1.8569
Ac 6.1608 6.5968 1.8576
Ac 10.2206 4.5091 1.8585
Ac 8.8166 6.4763 5.3260
Ac 8.7874 2.2695 5.3271
Ac 5.1579 4.3977 5.3253
P 3.7933 2.1904 0.1843
Ir 11.3814 6.5728 3.7817
Pt 7.5879 4.3802 3.3961
Pt 3.7950 2.1902 6.9963
```

=====

Entry 10:
The following is a PBE calculation of a geometry-optimized Ac6PIr2Pt structure, from Alexandria via LeMat-Bulk.

Output
* crystal system: trigonal
* space group: R3, No. 146
* formation energy from the elements: -792 meV per atom
* ρ: 9291 kg/m³

extended XYZ file:
```
10
Lattice="7.5915 -0.0004 0.0000 3.7953 6.5740 0.0009 3.7951 2.1924 7.0638" Properties=species:S:1:pos:R:3 pbc="T T T"
Ac 6.4764 2.0875 1.7673
Ac 6.1602 6.4976 1.7705
Ac 10.1368 4.5640 1.7704
Ac 8.6982 6.4724 5.2729
Ac 8.8465 2.3800 5.2726
Ac 5.2282 4.2957 5.2711
P 3.7957 2.1924 0.2795
Ir 7.5897 4.3826 3.3401
Ir 3.7955 2.1917 6.8939
Pt 11.3864 6.5747 3.7919
```

=====

Entry 11:
The following is a PBE calculation of a geometry-optimized Ac2P4Ir3Rh structure, from Alexandria via LeMat-Bulk.

Output
* crystal system: tetragonal
* space group: P-4m2, No. 115
* formation energy from the elements: -968 meV per atom
* ρ: 11578 kg/m³

extended XYZ file:
```
10
Lattice="-3.9776 -1.6224 -0.3067 0.2907 -1.4754 4.0356 -3.6699 8.3688 3.3239" Properties=species:S:1:pos:R:3 pbc="T T T"
Ac -2.8781 1.2168 0.6521
Ac -2.6352 5.6031 4.5362
P -1.8434 -1.5489 1.8645
P 0.0000 0.0000 0.0000
P -4.3227 4.5109 1.9605
P -1.1907 2.3090 3.2279
Ir -1.8349 4.1844 1.6620
Ir -5.2610 6.6508 2.8104
Ir -0.2523 0.1691 2.3780
Rh -3.6784 2.6355 3.5264
```

=====

Entry 12:
The following is a PBE calculation of a geometry-optimized Ac6PIr2Rh structure, from Alexandria via LeMat-Bulk.

Output
* crystal system: trigonal
* space group: R3, No. 146
* formation energy from the elements: -688 meV per atom
* ρ: 8981 kg/m³

extended XYZ file:
```
10
Lattice="7.5578 -0.0009 -0.0004 3.7781 6.5453 -0.0002 3.7778 2.1817 7.0271" Properties=species:S:1:pos:R:3 pbc="T T T"
Ac 6.4483 2.0501 1.7773
Ac 6.1096 6.4809 1.7783
Ac 10.1142 4.5575 1.7790
Ac 8.7086 6.4326 5.2368
Ac 8.7722 2.3299 5.2370
Ac 5.1893 4.3267 5.2374
P 3.7792 2.1826 0.2880
Ir 7.5556 4.3631 3.3069
Ir 3.7774 2.1817 6.8321
Rh 11.3354 6.5440 3.7664
```

=====

Among the records above, which one has the lowest formation energy from the elements? Ac2P4Ir3Rh

=====

Among the records above, which one has the lowest ρ? AcP2Ir

=====

formation energy from the elements of number 9 (Ac6PIrPt2)? -885 meV per atom

=====

The highest ρ belongs to which entry? Ac2P7Ir12